(1)
5
Lattice="4.4106 0.0000 0.0000 0.0000 4.4106 0.0000 0.0000 0.0000 4.4106" Properties=species:S:1:pos:R:3 comment="LiTeP3, single point on PBEsol structure, DFT SCAN" vol_a3_per_atom=17.160 sg="Pm-3m (221)" magmom_total_mub_per_cell=0.00 n_ef_per_ev_atom=0.725 raw_formation_energy_ev_per_atom=0.893 density_g_cm3=4.402 pbc="T T T"
Li 0.0000 0.0000 0.0000
Te 2.2053 2.2053 2.2053
P 0.0000 0.0000 2.2053
P 0.0000 2.2053 0.0000
P 2.2053 0.0000 0.0000


(2)
4
Lattice="0.0000 3.3599 3.3599 3.3599 0.0000 3.3599 3.3599 3.3599 0.0000" Properties=species:S:1:pos:R:3 comment="Li2TeP, single point on PBEsol structure, DFT SCAN" vol_a3_per_atom=18.964 sg="F-43m (216)" polymorph_energy_ev_per_atom=0.358 magmom_total_mub_per_cell=0.00 n_ef_per_ev_atom=0.281 raw_formation_energy_ev_per_atom=-0.100 density_g_cm3=3.775 pbc="T T T"
Li 0.0000 0.0000 0.0000
Li 1.6799 1.6799 1.6799
Te 3.3599 3.3599 3.3599
P 5.0398 5.0398 5.0398


(3)
10
Lattice="7.5287 0.0000 0.0000 0.0000 7.5287 0.0000 0.0000 0.0000 3.8252" Properties=species:S:1:pos:R:3 comment="Li2Te2P, single point on PBEsol structure, DFT SCAN" vol_a3_per_atom=21.682 sg="P4/mbm (127)" magmom_total_mub_per_cell=0.00 n_ef_per_ev_atom=0.369 raw_formation_energy_ev_per_atom=-0.307 density_g_cm3=4.596 pbc="T T T"
Li 0.9869 2.7775 0.0000
Li 2.7775 6.5419 0.0000
Li 4.7512 0.9869 0.0000
Li 6.5419 4.7512 0.0000
Te 1.3384 5.1028 1.9126
Te 2.4259 1.3384 1.9126
Te 5.1028 6.1903 1.9126
Te 6.1903 2.4259 1.9126
P 0.0000 0.0000 1.9126
P 3.7644 3.7644 1.9126